Computed, not measured: a relaxed structure of PmTm3Tl4Te8 at the PBE level of DFT.

```
16
Lattice="4.443 2.565 8.192 -4.443 2.565 8.192 0.000 -5.130 8.192" Properties=species:S:1:pos:R:3 pbc="T T T"
Pm 0.000 0.000 0.000
Tm -2.221 -1.282 8.192
Tm -2.221 1.282 16.384
Tm 0.000 2.565 8.192
Tl -4.443 0.000 12.288
Tl -2.221 1.282 4.096
Tl 2.221 1.282 4.096
Tl 0.000 0.000 12.288
Te 0.000 -2.504 9.940
Te -2.168 1.252 9.940
Te 0.000 0.000 6.479
Te -2.168 -1.252 14.636
Te 2.168 1.252 9.940
Te 0.000 0.000 18.098
Te 2.168 -1.252 14.637
Te 0.000 2.504 14.637
```

space group: R-3m, No. 166
total magnetization: 0.0 Bohr magnetons per cell
raw formation energy: -1.037 eV per atom

Computed, not measured: a relaxed structure of YSiPCl2 at the PBE level of DFT.

```
5
Lattice="5.083 0.000 0.000 0.000 5.083 0.000 0.000 0.000 5.687" Properties=species:S:1:pos:R:3 pbc="T T T"
Y 0.000 0.000 0.000
Si 2.541 2.541 2.843
P 0.000 0.000 2.843
Cl 0.000 2.541 0.000
Cl 2.541 0.000 0.000
```

space group: P4/mmm, No. 123
E above lowest polymorph: 33 kJ/mol of formula units
total magnetization: 0.0 Bohr magnetons per cell
raw formation energy: -0.346 eV per atom

Computed, not measured: a relaxed structure of AlTl2Mo at the PBE level of DFT.

```
4
Lattice="3.136 0.000 0.000 0.000 4.851 0.000 -1.469 0.000 5.508" Properties=species:S:1:pos:R:3 pbc="T T T"
Al 0.000 0.000 0.000
Tl 0.100 2.425 4.224
Tl 1.596 0.000 2.486
Mo 0.040 2.425 1.275
```

space group: Pm, No. 6
DFT formation energy: 0.55 eV/atom
E above lowest polymorph: 61 kJ/mol of formula units
total magnetization: 0.0 Bohr magnetons per cell

Computed, not measured: a relaxed structure of TmMgZnPd at the PBE level of DFT.

```
4
Lattice="0.000 3.369 3.369 3.369 0.000 3.369 3.369 3.369 0.000" Properties=species:S:1:pos:R:3 pbc="T T T"
Tm 0.000 0.000 0.000
Mg 3.369 3.369 3.369
Zn 1.684 1.684 1.684
Pd 5.053 5.053 5.053
```

space group: F-43m, No. 216
DFT formation energy: -0.55 eV/atom
total magnetization: 0.0 Bohr magnetons per cell

Computed, not measured: a relaxed structure of CeLuRh2 at the PBE level of DFT.

```
4
Lattice="1.964 1.134 6.554 -1.964 1.134 6.554 0.000 -2.268 6.554" Properties=species:S:1:pos:R:3 pbc="T T T"
Ce 0.000 0.000 0.000
Lu 0.000 0.000 9.830
Rh 0.000 0.000 4.943
Rh 0.000 0.000 14.718
```

space group: R-3m, No. 166
DFT formation energy: -0.70 eV/atom
total magnetization: 0.0 Bohr magnetons per cell

Computed, not measured: a relaxed structure of Mn2FeBr at the PBE level of DFT.

```
4
Lattice="1.554 0.897 7.703 -1.554 0.897 7.703 0.000 -1.794 7.703" Properties=species:S:1:pos:R:3 pbc="T T T"
Mn 0.000 0.000 0.000
Mn 0.000 0.000 5.777
Fe 0.000 0.000 11.844
Br 0.000 0.000 17.497
```

space group: R3m, No. 160
E above lowest polymorph: 81 kJ/mol of formula units
total magnetization: 8.9 Bohr magnetons per cell
raw formation energy: 0.572 eV per atom

Computed, not measured: a relaxed structure of DyPdAu4 at the PBE level of DFT.

```
6
Lattice="3.562 0.000 0.000 0.000 3.720 0.000 0.000 0.000 8.699" Properties=species:S:1:pos:R:3 pbc="T T T"
Dy 0.000 0.000 0.000
Pd 1.781 1.860 4.350
Au 0.000 0.000 2.954
Au 0.000 0.000 5.745
Au 1.781 1.860 1.555
Au 1.781 1.860 7.144
```

space group: Pmmm, No. 47
DFT formation energy: -0.44 eV/atom
E above lowest polymorph: 43 kJ/mol of formula units
total magnetization: 0.0 Bohr magnetons per cell

Computed, not measured: a relaxed structure of Tb4PrAg5 at the PBE level of DFT.

```
10
Lattice="3.646 0.000 0.000 0.000 3.646 0.000 0.000 0.000 18.709" Properties=species:S:1:pos:R:3 pbc="T T T"
Tb 0.000 0.000 1.845
Tb 0.000 0.000 5.528
Tb 0.000 0.000 13.181
Tb 0.000 0.000 16.864
Pr 0.000 0.000 9.355
Ag 1.823 1.823 0.000
Ag 1.823 1.823 3.690
Ag 1.823 1.823 7.296
Ag 1.823 1.823 11.414
Ag 1.823 1.823 15.020
```

space group: P4/mmm, No. 123
DFT formation energy: -0.30 eV/atom
total magnetization: 0.0 Bohr magnetons per cell